NaTb after structural relaxation. Source: Alexandria, functional PBE-GGA.

Calculated values
For the energy of formation from the pure elements, the calculation gives 93 meV per atom.

POSCAR file:
```
NaTb
1.0
3.577 0.000 0.000
-1.789 3.098 0.000
0.000 0.000 12.158
Na Tb
2 2
Direct
0.333 0.667 0.131
0.667 0.333 0.869
0.333 0.667 0.614
0.667 0.333 0.386
```

HoTm2Hg after structural relaxation. Source: Alexandria, functional PBE-GGA.

Calculated values
For the energy of formation from the pure elements, the calculation gives -161 meV per atom. The offset from the most stable computed form is 0.0675 eV per atom.

POSCAR file:
```
HoTm2Hg
1.0
1.800 1.039 10.334
-1.800 1.039 10.334
0.000 -2.078 10.334
Ho Tm Hg
1 2 1
Direct
0.000 0.000 0.000
0.576 0.576 0.576
0.757 0.757 0.757
0.166 0.166 0.166
```

LiTbCoGe after structural relaxation. Source: Alexandria, functional PBE-GGA.

Calculated values
For the energy of formation from the pure elements, the calculation gives -352 meV per atom.

POSCAR file:
```
LiTbCoGe
1.0
0.000 3.158 3.158
3.158 0.000 3.158
3.158 3.158 0.000
Li Tb Co Ge
1 1 1 1
Direct
0.000 0.000 0.000
0.250 0.250 0.250
0.500 0.500 0.500
0.750 0.750 0.750
```

KZn2GaTe4 after structural relaxation. Source: Alexandria, functional PBE-GGA.

Calculated values
For the energy relative to the elements, uncorrected, the calculation gives -0.4488 eV per atom.

POSCAR file:
```
KZn2GaTe4
1.0
-3.518 4.224 4.651
3.518 -4.224 4.651
3.518 4.224 -4.651
K Zn Ga Te
1 2 1 4
Direct
0.000 0.000 0.000
0.331 0.831 0.500
0.669 0.169 0.500
0.500 0.500 0.000
0.153 0.120 0.595
0.475 0.880 0.033
0.525 0.558 0.405
0.847 0.442 0.967
```

Cs2Np3CdS8 after structural relaxation. Source: Alexandria, functional PBE-GGA.

Calculated values
For the energy relative to the elements, uncorrected, the calculation gives -1.2111 eV per atom.

POSCAR file:
```
Cs2Np3CdS8
1.0
3.992 2.305 8.576
-3.992 2.305 8.576
0.000 -4.610 8.576
Cs Np Cd S
2 3 1 8
Direct
0.000 0.000 0.000
0.349 0.349 0.349
0.501 0.998 0.998
0.998 0.501 0.998
0.998 0.998 0.501
0.509 0.509 0.509
0.208 0.731 0.731
0.219 0.219 0.219
0.272 0.272 0.788
0.272 0.788 0.272
0.731 0.208 0.731
0.731 0.731 0.208
0.777 0.777 0.777
0.788 0.272 0.272
```

Ti5AlZn after structural relaxation. Source: Alexandria, functional PBE-GGA.

Calculated values
For the energy of formation from the pure elements, the calculation gives -32 meV per atom.

POSCAR file:
```
Ti5AlZn
1.0
6.402 -3.662 0.000
6.402 3.662 0.000
-1.214 0.000 5.081
Ti Al Zn
10 2 2
Direct
0.085 0.285 0.988
0.143 0.857 0.750
0.285 0.085 0.488
0.350 0.419 0.866
0.419 0.350 0.366
0.581 0.650 0.634
0.650 0.581 0.134
0.715 0.915 0.512
0.857 0.143 0.250
0.915 0.715 0.012
0.241 0.759 0.250
0.759 0.241 0.750
0.000 0.500 0.500
0.500 0.000 0.000
```

BaSbTe after structural relaxation. Source: Alexandria, functional PBE-GGA.

Calculated values
For the energy relative to the elements, uncorrected, the calculation gives -0.3832 eV per atom. The offset from the most stable computed form is 0.3751 eV per atom.

POSCAR file:
```
BaSbTe
1.0
0.000 4.014 4.014
4.014 0.000 4.014
4.014 4.014 0.000
Ba Sb Te
1 1 1
Direct
0.000 0.000 0.000
0.250 0.250 0.250
0.750 0.750 0.750
```

SrAg2HgB after structural relaxation. Source: Alexandria, functional PBE-GGA.

Calculated values
For the energy of formation from the pure elements, the calculation gives 548 meV per atom. The offset from the most stable computed form is 0.4097 eV per atom.

POSCAR file:
```
SrAg2HgB
1.0
5.401 0.000 0.000
0.000 5.401 0.000
0.000 0.000 4.259
Sr Ag Hg B
1 2 1 1
Direct
0.000 0.000 0.000
0.000 0.500 0.500
0.500 0.000 0.500
0.500 0.500 0.500
0.500 0.500 0.000
```

La2MgSe2 after structural relaxation. Source: Alexandria, functional PBE-GGA.

Calculated values
For the energy relative to the elements, uncorrected, the calculation gives -1.3299 eV per atom. The offset from the most stable computed form is 0.0000 eV per atom.

POSCAR file:
```
La2MgSe2
1.0
8.262 0.000 0.000
0.000 8.262 0.000
0.000 0.000 3.940
La Mg Se
4 2 4
Direct
0.158 0.342 0.000
0.342 0.842 0.000
0.658 0.158 0.000
0.842 0.658 0.000
0.000 0.000 0.500
0.500 0.500 0.500
0.144 0.644 0.500
0.356 0.144 0.500
0.644 0.856 0.500
0.856 0.356 0.500
```

Fe3GeRh4 after structural relaxation. Source: Alexandria, functional PBE-GGA.

Calculated values
For the energy of formation from the pure elements, the calculation gives -192 meV per atom.

POSCAR file:
```
Fe3GeRh4
1.0
4.127 0.000 0.000
0.000 4.127 0.000
0.000 0.000 6.430
Fe Ge Rh
3 1 4
Direct
0.000 0.000 0.000
0.000 0.000 0.500
0.500 0.500 0.000
0.500 0.500 0.500
0.000 0.500 0.259
0.000 0.500 0.741
0.500 0.000 0.259
0.500 0.000 0.741
```

CeTmTe2N after structural relaxation. Source: Alexandria, functional PBE-GGA.

Calculated values
For the energy relative to the elements, uncorrected, the calculation gives -1.3766 eV per atom.

POSCAR file:
```
CeTmTe2N
1.0
4.148 0.000 0.000
0.000 4.148 0.000
0.000 0.000 15.625
Ce Tm Te N
2 2 4 2
Direct
0.250 0.250 0.068
0.750 0.750 0.932
0.250 0.250 0.630
0.750 0.750 0.370
0.250 0.250 0.416
0.250 0.250 0.811
0.750 0.750 0.189
0.750 0.750 0.584
0.250 0.750 0.000
0.750 0.250 0.000
```

TcPd2Cl after structural relaxation. Source: Alexandria, functional PBE-GGA.

Calculated values
For the energy relative to the elements, uncorrected, the calculation gives 0.7402 eV per atom. The offset from the most stable computed form is 0.1181 eV per atom.

POSCAR file:
```
TcPd2Cl
1.0
0.000 3.249 3.249
3.249 0.000 3.249
3.249 3.249 0.000
Tc Pd Cl
1 2 1
Direct
0.000 0.000 0.000
0.250 0.250 0.250
0.750 0.750 0.750
0.500 0.500 0.500
```

ZnFe3Pb after structural relaxation. Source: Alexandria, functional PBE-GGA.

Calculated values
For the energy of formation from the pure elements, the calculation gives 1654 meV per atom. The offset from the most stable computed form is 0.7034 eV per atom.

POSCAR file:
```
ZnFe3Pb
1.0
4.937 0.000 0.000
0.000 4.937 0.000
0.000 0.000 4.937
Zn Fe Pb
1 3 1
Direct
0.000 0.000 0.000
0.000 0.500 0.500
0.500 0.000 0.500
0.500 0.500 0.000
0.500 0.500 0.500
```

K2MoBr after structural relaxation. Source: Alexandria, functional PBE-GGA.

Calculated values
For the energy relative to the elements, uncorrected, the calculation gives 0.5351 eV per atom. The offset from the most stable computed form is 0.1957 eV per atom.

POSCAR file:
```
K2MoBr
1.0
-2.447 2.447 6.754
2.447 -2.447 6.754
2.447 2.447 -6.754
K Mo Br
2 1 1
Direct
0.000 0.000 0.000
0.750 0.250 0.500
0.250 0.750 0.500
0.500 0.500 0.000
```

Sn2AsBr2 after structural relaxation. Source: Alexandria, functional PBE-GGA.

Calculated values
For the energy relative to the elements, uncorrected, the calculation gives -0.1633 eV per atom.

POSCAR file:
```
Sn2AsBr2
1.0
7.663 0.000 0.000
0.000 7.663 0.000
0.000 0.000 4.920
Sn As Br
4 2 4
Direct
0.158 0.342 0.000
0.342 0.842 0.000
0.658 0.158 0.000
0.842 0.658 0.000
0.000 0.000 0.000
0.500 0.500 0.000
0.181 0.681 0.500
0.319 0.181 0.500
0.681 0.819 0.500
0.819 0.319 0.500
```

GePtCl2 after structural relaxation. Source: Alexandria, functional PBE-GGA.

Calculated values
For the energy relative to the elements, uncorrected, the calculation gives 0.3364 eV per atom. The offset from the most stable computed form is 0.2035 eV per atom.

POSCAR file:
```
GePtCl2
1.0
0.000 3.344 3.344
3.344 0.000 3.344
3.344 3.344 0.000
Ge Pt Cl
1 1 2
Direct
0.000 0.000 0.000
0.500 0.500 0.500
0.250 0.250 0.250
0.750 0.750 0.750
```

Table of VASP energy (eV per atom), in record order: -2.8819, -3.6167, -4.9184, -2.8537, -6.5299, -6.3880, -3.4455, -2.3251, -5.0136, -7.6189, -6.3794, -4.9093, -4.4202, -3.1396, -3.3635, -3.2514